HfFeF3: relaxed, GGA+U.

The calculation puts the spin magnetization at 0.094 μB per atom. For the energy above the most stable polymorph in this dataset, the calculation gives 991 meV per atom. The space-group type is Pm-3m (221). The calculated volume is 66 Å³ per cell.

Cell lengths 4.0502, 4.0502, 4.0502 Å; angles 90.00, 90.00, 90.00 degrees
Closest atoms and distances in Å follow each position.
Fractional coordinates of all 5 atoms:
1 Hf 0.0000 0.0000 0.0000  12 F 2.86
2 Fe 0.5000 0.5000 0.5000  6 F 2.03
3 F 0.0000 0.5000 0.5000  2 Fe 2.03
4 F 0.5000 0.0000 0.5000  2 Fe 2.03
5 F 0.5000 0.5000 0.0000  2 Fe 2.03